Below is an optimized crystal structure of TlGaTc3, with properties calculated at the PBEsol level.

Cell: 4.9076 4.9076 4.9076 Å, 90.00 90.00 90.00°
Atoms (fractional coordinates):
Tl 0.0000 0.0000 0.0000
Ga 0.5000 0.5000 0.5000
Tc 0.0000 0.0000 0.5000
Tc 0.0000 0.5000 0.0000
Tc 0.5000 0.0000 0.0000

- electronic total energy (eV/atom) = -5.28
- formation energy from the elements (meV/atom) = 2673